A plane-wave DFT calculation with GGA+U was carried out for an optimized crystal structure of Hf3MnO.

```
data_Hf3MnO
_chemical_formula_sum 'Hf3 Mn1 O1'
_space_group_name_H-M_alt 'P m -3 m'
_space_group_IT_number 221
_space_group_name_Hall '-P 4 2 3'
_cell_length_a 4.735
_cell_length_b 4.735
_cell_length_c 4.735
_cell_angle_alpha 90.00
_cell_angle_beta 90.00
_cell_angle_gamma 90.00
loop_
_atom_site_label
_atom_site_type_symbol
_atom_site_fract_x
_atom_site_fract_y
_atom_site_fract_z
Hf1 Hf 0.000 0.000 0.500
Mn1 Mn 0.000 0.000 0.000
O1 O 0.500 0.500 0.500
```

* relative energy among the computed polymorphs: 2.027 eV/atom
* mass density: 9488 kg/m³